The following is a DFT calculation (PBE) of InCuAg after structural relaxation.

Summary:
- symmetry = No. 62
- electronic total energy (eV/atom) = -3.0649
- theoretical density (g/cm3) = 9.1
- energy above the lowest structure with this stoichiometry (eV/f.u.) = 0.00

a = 5.664 Å, b = 4.498 Å, c = 8.194 Å
α = 90.00°, β = 90.00°, γ = 90.00°
Positions (direct):
Ag1 0.024 0.750 0.228
Ag2 0.524 0.750 0.272
Ag3 0.476 0.250 0.728
Ag4 0.976 0.250 0.772
Cu1 0.789 0.250 0.099
Cu2 0.289 0.250 0.401
Cu3 0.711 0.750 0.599
Cu4 0.211 0.750 0.901
In1 0.294 0.250 0.073
In2 0.794 0.250 0.427
In3 0.206 0.750 0.573
In4 0.706 0.750 0.927

---

The following is a DFT calculation (PBE) of InCuAg after structural relaxation.

Summary:
- symmetry = No. 62
- electronic total energy (eV/atom) = -3.0623
- theoretical density (g/cm3) = 9.0
- energy above the lowest structure with this stoichiometry (eV/f.u.) = 0.01

a = 5.715 Å, b = 4.347 Å, c = 8.486 Å
α = 90.00°, β = 90.00°, γ = 90.00°
Positions (direct):
Ag1 0.959 0.250 0.221
Ag2 0.459 0.250 0.279
Ag3 0.541 0.750 0.721
Ag4 0.041 0.750 0.779
Cu1 0.224 0.750 0.127
Cu2 0.724 0.750 0.373
Cu3 0.276 0.250 0.627
Cu4 0.776 0.250 0.873
In1 0.709 0.750 0.057
In2 0.209 0.750 0.443
In3 0.791 0.250 0.557
In4 0.291 0.250 0.943

---

The following is a DFT calculation (PBE) of InCuAgIr after structural relaxation.

Summary:
- symmetry = No. 216
- electronic total energy (eV/atom) = -4.4081
- theoretical density (g/cm3) = 12.1
- energy above the lowest structure with this stoichiometry (eV/f.u.) = 0.00

a = 4.524 Å, b = 4.524 Å, c = 4.524 Å
α = 60.00°, β = 60.00°, γ = 60.00°
Positions (direct):
Ag1 0.500 0.500 0.500
Cu1 0.750 0.750 0.750
In1 0.000 0.000 0.000
Ir1 0.250 0.250 0.250

---

The following is a DFT calculation (PBE) of Tb3In3CuAgIr after structural relaxation.

Summary:
- symmetry = No. 174
- electronic total energy (eV/atom) = -4.7382
- theoretical density (g/cm3) = 9.8

a = 7.740 Å, b = 7.740 Å, c = 3.858 Å
α = 90.00°, β = 90.00°, γ = 120.00°
Positions (direct):
Ag1 0.333 0.667 0.500
Cu1 0.667 0.333 0.000
In1 0.417 0.081 0.500
In2 0.919 0.336 0.500
In3 0.664 0.583 0.500
Ir1 0.000 0.000 0.500
Tb1 0.245 0.308 0.000
Tb2 0.063 0.755 0.000
Tb3 0.692 0.937 0.000

---

The following is a DFT calculation (PBE) of K2In4CuAg after structural relaxation.

Summary:
- symmetry = No. 38
- electronic total energy (eV/atom) = -2.5271
- theoretical density (g/cm3) = 5.4

a = 8.084 Å, b = 6.162 Å, c = 6.162 Å
α = 45.27°, β = 90.00°, γ = 90.00°
Positions (direct):
Ag1 0.000 0.276 0.276
Cu1 0.500 0.725 0.725
In1 0.313 0.155 0.155
In2 0.687 0.155 0.155
In3 0.203 0.844 0.844
In4 0.797 0.844 0.844
K1 0.500 0.446 0.446
K2 0.000 0.557 0.557

---

The following is a DFT calculation (PBE) of La3In3Cu2Ag after structural relaxation.

Summary:
- symmetry = No. 189
- electronic total energy (eV/atom) = -4.1034
- theoretical density (g/cm3) = 7.5

a = 7.675 Å, b = 7.675 Å, c = 4.333 Å
α = 90.00°, β = 90.00°, γ = 120.00°
Positions (direct):
Ag1 0.000 0.000 0.500
Cu1 0.667 0.333 0.000
Cu2 0.333 0.667 0.000
In1 0.746 0.000 0.000
In2 0.254 0.254 0.000
In3 0.000 0.746 0.000
La1 0.420 0.000 0.500
La2 0.000 0.420 0.500
La3 0.580 0.580 0.500

---

The following is a DFT calculation (PBE) of LaLu2In3CuAg2 after structural relaxation.

Summary:
- symmetry = No. 38
- electronic total energy (eV/atom) = -3.9015
- theoretical density (g/cm3) = 8.8

a = 3.922 Å, b = 7.864 Å, c = 7.864 Å
α = 120.57°, β = 90.00°, γ = 90.00°
Positions (direct):
Ag1 0.500 0.675 0.329
Ag2 0.500 0.329 0.675
Cu1 0.000 0.996 0.996
In1 0.500 0.993 0.248
In2 0.500 0.753 0.753
In3 0.500 0.248 0.993
La1 0.000 0.406 0.406
Lu1 0.000 0.600 0.000
Lu2 0.000 0.000 0.600

---

The following is a DFT calculation (PBE) of La2LuIn3CuAg2 after structural relaxation.

Summary:
- symmetry = No. 38
- electronic total energy (eV/atom) = -3.9628
- theoretical density (g/cm3) = 8.1

a = 4.107 Å, b = 7.879 Å, c = 7.879 Å
α = 119.92°, β = 90.00°, γ = 90.00°
Positions (direct):
Ag1 0.500 0.653 0.341
Ag2 0.500 0.341 0.653
Cu1 0.000 0.008 0.008
In1 0.500 0.246 0.005
In2 0.500 0.005 0.246
In3 0.500 0.756 0.756
La1 0.000 0.594 0.001
La2 0.000 0.001 0.594
Lu1 0.000 0.397 0.397

---

The following is a DFT calculation (PBE) of Na2La2In2CuAg after structural relaxation.

Summary:
- symmetry = No. 115
- electronic total energy (eV/atom) = -3.2700
- theoretical density (g/cm3) = 6.4

a = 5.100 Å, b = 5.100 Å, c = 7.254 Å
α = 90.00°, β = 90.00°, γ = 90.00°
Positions (direct):
Ag1 0.000 0.000 0.000
Cu1 0.500 0.500 0.500
In1 0.500 0.000 0.255
In2 0.000 0.500 0.745
La1 0.000 0.500 0.260
La2 0.500 0.000 0.740
Na1 0.500 0.500 0.000
Na2 0.000 0.000 0.500

---

The following is a DFT calculation (PBE) of LaTb2In3CuAg2 after structural relaxation.

Summary:
- symmetry = No. 38
- electronic total energy (eV/atom) = -3.9560
- theoretical density (g/cm3) = 8.4

a = 3.978 Å, b = 7.902 Å, c = 7.902 Å
α = 120.23°, β = 90.00°, γ = 90.00°
Positions (direct):
Ag1 0.500 0.670 0.327
Ag2 0.500 0.327 0.670
Cu1 0.000 0.003 0.003
In1 0.500 0.753 0.006
In2 0.500 0.245 0.245
In3 0.500 0.006 0.753
La1 0.000 0.595 0.595
Tb1 0.000 0.000 0.400
Tb2 0.000 0.400 0.000

---

The following is a DFT calculation (PBE) of La2TmIn3CuAg2 after structural relaxation.

Summary:
- symmetry = No. 38
- electronic total energy (eV/atom) = -3.9629
- theoretical density (g/cm3) = 8.1

a = 4.066 Å, b = 7.902 Å, c = 7.902 Å
α = 119.88°, β = 90.00°, γ = 90.00°
Positions (direct):
Ag1 0.500 0.655 0.339
Ag2 0.500 0.339 0.655
Cu1 0.000 0.006 0.006
In1 0.500 0.247 0.006
In2 0.500 0.006 0.247
In3 0.500 0.753 0.753
La1 0.000 0.595 0.000
La2 0.000 0.000 0.595
Tm1 0.000 0.398 0.398

---

The following is a DFT calculation (PBE) of Li2Nd2In2CuAg after structural relaxation.

Summary:
- symmetry = No. 115
- electronic total energy (eV/atom) = -3.5442
- theoretical density (g/cm3) = 7.0

a = 4.896 Å, b = 4.896 Å, c = 6.964 Å
α = 90.00°, β = 90.00°, γ = 90.00°
Positions (direct):
Ag1 0.000 0.000 0.000
Cu1 0.500 0.500 0.500
In1 0.500 0.000 0.256
In2 0.000 0.500 0.744
Li1 0.500 0.500 0.000
Li2 0.000 0.000 0.500
Nd1 0.000 0.500 0.261
Nd2 0.500 0.000 0.739

---

- Which value of electronic total energy does entry 10 give?
  -3.9560 eV/atom